Nd12Y5Ho, relaxed, DFT PBE; symmetry = Cmmm (65); magnetic moment = 0.0 μB per formula unit; ΔH_f (0 K) = 0.02 eV/atom; crystal system = orthorhombic
1.0
7.7085 -7.7404 0.0000
7.7085 7.7404 0.0000
0.0000 0.0000 5.1615
Nd Y Ho
12 5 1
Direct
0.0008 0.6680 0.5000
0.1652 0.1652 0.0000
0.1671 0.5004 0.0000
0.3320 0.9992 0.5000
0.3339 0.3339 0.5000
0.5004 0.1671 0.0000
0.4996 0.8329 0.0000
0.6661 0.6661 0.5000
0.6680 0.0008 0.5000
0.8329 0.4996 0.0000
0.8348 0.8348 0.0000
0.9992 0.3320 0.5000
0.1664 0.8336 0.0000
0.3335 0.6665 0.5000
0.5000 0.5000 0.0000
0.6665 0.3335 0.5000
0.8336 0.1664 0.0000
0.0000 0.0000 0.5000

---

Nd3Y2Ho8, relaxed, DFT PBE; symmetry = P-1 (2); magnetic moment = 0.0 μB per formula unit; energy relative to the lowest polymorph listed for this composition = 0.00 eV/f.u.; ΔH_f (0 K) = 0.02 eV/atom; crystal system = triclinic
1.0
6.1847 0.0000 0.0000
1.0253 6.0991 0.0000
2.0724 -0.3285 11.0779
Nd Y Ho
3 2 8
Direct
0.0000 0.0000 0.0000
0.2310 0.4617 0.0791
0.7690 0.5383 0.9209
0.3834 0.7696 0.4620
0.6166 0.2304 0.5380
0.0772 0.1532 0.6900
0.1527 0.3078 0.3859
0.3084 0.6140 0.7662
0.4622 0.9247 0.1568
0.5378 0.0753 0.8432
0.6916 0.3860 0.2338
0.8473 0.6922 0.6141
0.9228 0.8468 0.3100

---

Q: Look up the ΔH_f (0 K) of the second one.
A: 0.02 eV/atom

---

Q: ΔH_f (0 K) of number 2 (Nd3Y2Ho8)?
A: 0.02 eV/atom

---

Q: Which formula does entry 1 have?
A: Nd12Y5Ho